[1]
A relaxed structure of Na2Mg2Pb. Source: Alexandria via LeMat-Bulk, functional PBE.

Lattice parameters (Å, degrees): 4.1993 4.1993 8.8217 76.23 76.23 90.00
Closest atoms and distances in Å follow each position.
Element x y z (fractional)
1 Pb 0.0000 0.0000 0.0000  8 Mg 3.33
2 Na 0.7500 0.2500 0.5000  4 Na 2.97
3 Na 0.2500 0.7500 0.5000  4 Na 2.97
4 Mg 0.4088 0.4088 0.1824  1 Mg 3.03, 4 Pb 3.33, 4 Na 3.37
5 Mg 0.5912 0.5912 0.8176  1 Mg 3.03, 4 Pb 3.33, 4 Na 3.37

## Properties
Electronic total energy, eV for the cell shown: -8.690
Formation energy from the elements, eV/f.u.: 0.8
D(E_F), states/eV per atom: 0.565

[2]
A relaxed structure of BaGe3Bi. Source: Alexandria via LeMat-Bulk, functional PBE.

Lattice parameters (Å, degrees): 5.7875 5.7875 5.7875 90.00 90.00 90.00
Closest atoms and distances in Å follow each position.
Element x y z (fractional)
1 Ge 0.0000 0.5000 0.0000  2 Ba 2.89
2 Ge 0.0000 0.0000 0.5000  2 Ba 2.89
3 Ge 0.5000 0.0000 0.0000  2 Ba 2.89
4 Bi 0.5000 0.5000 0.5000  12 Ge 4.09
5 Ba 0.0000 0.0000 0.0000  6 Ge 2.89

## Properties
Electronic total energy, eV for the cell shown: -13.508
Formation energy from the elements, eV/f.u.: 6.1
D(E_F), states/eV per atom: 1.011

[3]
A relaxed structure of GeAsSe2N. Source: Alexandria via LeMat-Bulk, functional PBE.

Lattice parameters (Å, degrees): 5.1934 5.1934 3.5426 90.00 90.00 90.00
Closest atoms and distances in Å follow each position.
Element x y z (fractional)
1 As 0.5000 0.5000 0.5000  8 Se 3.14
2 Ge 0.0000 0.0000 0.0000  2 N 1.77
3 Se 0.0000 0.5000 0.0000  2 Ge 2.60
4 Se 0.5000 0.0000 0.0000  2 Ge 2.60
5 N 0.0000 0.0000 0.5000  2 Ge 1.77

## Properties
Formation energy (no corrections), meV per atom: 764.2
Electronic total energy, eV for the cell shown: -20.740
D(E_F), states/eV per atom: 0.506

[4]
A relaxed structure of ThSc5As4. Source: Alexandria via LeMat-Bulk, functional PBE.

Lattice parameters (Å, degrees): 6.4925 8.2944 9.5632 90.00 90.00 90.00
Closest atoms and distances in Å follow each position.
Element x y z (fractional)
1 Th 0.8348 0.0000 0.0000  4 As 2.84-2.87
2 Th 0.1652 0.5000 0.5000  4 As 2.84-2.87
3 Sc 0.2533 0.7748 0.7996  3 As 2.67-2.72
4 Sc 0.2533 0.2252 0.7996  3 As 2.67-2.72
5 Sc 0.7972 0.5000 0.0000  4 As 2.57-2.63
6 Sc 0.2533 0.7748 0.2004  3 As 2.67-2.72
7 Sc 0.2533 0.2252 0.2004  3 As 2.67-2.72
8 Sc 0.7467 0.7252 0.2996  3 As 2.67-2.72
9 Sc 0.7467 0.2748 0.2996  3 As 2.67-2.72
10 Sc 0.2028 0.0000 0.5000  4 As 2.57-2.63
11 Sc 0.7467 0.2748 0.7004  3 As 2.67-2.72
12 Sc 0.7467 0.7252 0.7004  3 As 2.67-2.72
13 As 0.9731 0.0000 0.7184  5 Sc 2.57-2.72, 1 Th 2.84
14 As 0.5373 0.7439 0.0000  3 Sc 2.63-2.67, 1 Th 2.87
15 As 0.5373 0.2561 0.0000  3 Sc 2.63-2.67, 1 Th 2.87
16 As 0.9731 0.0000 0.2816  5 Sc 2.57-2.72, 1 Th 2.84
17 As 0.0269 0.5000 0.2184  5 Sc 2.57-2.72, 1 Th 2.84
18 As 0.4627 0.7561 0.5000  3 Sc 2.63-2.67, 1 Th 2.87
19 As 0.4627 0.2439 0.5000  3 Sc 2.63-2.67, 1 Th 2.87
20 As 0.0269 0.5000 0.7816  5 Sc 2.57-2.72, 1 Th 2.84

## Properties
Electronic total energy, eV for the cell shown: -131.190
Formation energy from the elements, eV/f.u.: -7.9
D(E_F), states/eV per atom: 0.758

[5]
A relaxed structure of Sm8Ga2Pt. Source: Alexandria via LeMat-Bulk, functional PBE.

Lattice parameters (Å, degrees): 5.0093 6.7660 9.7991 102.09 104.81 90.00
Closest atoms and distances in Å follow each position.
Element x y z (fractional)
1 Sm 0.4081 0.5403 0.8163  1 Pt 3.22, 2 Ga 3.45, 3 Sm 3.48
2 Sm 0.6546 0.9828 0.3092  1 Pt 2.96, 3 Ga 3.06-3.15
3 Sm 0.7892 0.6793 0.5784  3 Ga 3.08-3.28, 2 Sm 3.40
4 Sm 0.9765 0.2213 0.9529  2 Pt 3.00, 1 Ga 3.12, 1 Sm 3.30
5 Sm 0.2108 0.3207 0.4216  3 Ga 3.08-3.28, 2 Sm 3.40
6 Sm 0.3454 0.0172 0.6908  1 Pt 2.96, 3 Ga 3.06-3.15
7 Sm 0.5919 0.4597 0.1837  1 Pt 3.22, 2 Ga 3.45, 3 Sm 3.48
8 Sm 0.0235 0.7787 0.0471  2 Pt 3.00, 1 Ga 3.12, 1 Sm 3.30
9 Ga 0.8138 0.2442 0.6277  7 Sm 3.06-3.28
10 Ga 0.1862 0.7558 0.3723  7 Sm 3.06-3.28
11 Pt 0.5000 0.0000 0.0000  8 Sm 2.96-3.22

## Properties
Electronic total energy, eV for the cell shown: -54.399
Formation energy from the elements, eV/f.u.: -4.6
D(E_F), states/eV per atom: 0.984

[6]
A relaxed structure of RhPb2Au. Source: Alexandria via LeMat-Bulk, functional PBE.

Lattice parameters (Å, degrees): 5.2856 5.2856 6.3219 55.92 55.92 41.07
Closest atoms and distances in Å follow each position.
Element x y z (fractional)
1 Rh 0.4645 0.4645 0.3633  5 Pb 2.80-2.86, 3 Au 2.93-3.12
2 Pb 0.0424 0.0424 0.9717  2 Rh 2.81, 3 Au 2.91-2.99
3 Pb 0.1786 0.1786 0.3560  3 Rh 2.80-2.86, 1 Au 2.97
4 Au 0.8146 0.8146 0.8089  4 Pb 2.91-2.99, 3 Rh 2.93-3.12

## Properties
Electronic total energy, eV for the cell shown: -17.950
Formation energy from the elements, eV/f.u.: 0.1
D(E_F), states/eV per atom: 0.580